# 1
Material: K2Sn2O3
Method: DFT, meta-GGA SCAN
State: PBEsol geometry

Cell and atoms, written as CIF:
```
data_K2Sn2O3
_space_group_name_H-M_alt 'P 1'
_space_group_IT_number 1
_cell_length_a 5.840
_cell_length_b 5.840
_cell_length_c 5.840
_cell_angle_alpha 62.08
_cell_angle_beta 62.08
_cell_angle_gamma 62.08
loop_
_space_group_symop_operation_xyz
'x,y,z'
loop_
_atom_site_label
_atom_site_type_symbol
_atom_site_fract_x
_atom_site_fract_y
_atom_site_fract_z
K1 K 0.500 0.500 0.500
K2 K 0.000 0.000 0.000
Sn1 Sn 0.243 0.243 0.243
Sn2 Sn 0.757 0.757 0.757
O1 O 0.500 0.000 0.000
O2 O 0.000 0.000 0.500
O3 O 0.000 0.500 0.000
```

The energy relative to the lowest polymorph listed for this composition comes out at 7 meV per atom. As for the calculated density: 4.1 Mg/m³. Its calculated total energy is -16.87 eV/atom. For the uncorrected formation energy, the calculation gives -1.561 eV per atom.

# 2
Material: K2SnO2
Method: DFT, meta-GGA SCAN
State: PBEsol geometry

Cell and atoms, written as CIF:
```
data_K2SnO2
_space_group_name_H-M_alt 'P 1'
_space_group_IT_number 1
_cell_length_a 7.165
_cell_length_b 7.414
_cell_length_c 9.833
_cell_angle_alpha 85.42
_cell_angle_beta 70.34
_cell_angle_gamma 61.51
loop_
_space_group_symop_operation_xyz
'x,y,z'
loop_
_atom_site_label
_atom_site_type_symbol
_atom_site_fract_x
_atom_site_fract_y
_atom_site_fract_z
K1 K 0.391 0.574 0.862
K2 K 0.936 0.545 0.826
K3 K 0.930 0.066 0.814
K4 K 0.242 0.256 0.490
K5 K 0.758 0.744 0.510
K6 K 0.070 0.934 0.186
K7 K 0.064 0.455 0.174
K8 K 0.609 0.426 0.138
Sn1 Sn 0.396 0.057 0.875
Sn2 Sn 0.694 0.294 0.528
Sn3 Sn 0.306 0.706 0.472
Sn4 Sn 0.604 0.943 0.125
O1 O 0.063 0.216 0.984
O2 O 0.505 0.191 0.992
O3 O 0.340 0.484 0.625
O4 O 0.802 0.402 0.650
O5 O 0.198 0.598 0.350
O6 O 0.660 0.516 0.375
O7 O 0.495 0.809 0.008
O8 O 0.937 0.784 0.016
```

As for the calculated density: 3.5 Mg/m³. Its calculated total energy is -14.56 eV/atom. For the uncorrected formation energy, the calculation gives -1.547 eV per atom.

# 3
Material: K2Sn2O3
Method: DFT, meta-GGA SCAN
State: PBEsol geometry

Cell and atoms, written as CIF:
```
data_K2Sn2O3
_space_group_name_H-M_alt 'P 1'
_space_group_IT_number 1
_cell_length_a 7.198
_cell_length_b 7.198
_cell_length_c 7.198
_cell_angle_alpha 109.47
_cell_angle_beta 109.47
_cell_angle_gamma 109.47
loop_
_space_group_symop_operation_xyz
'x,y,z'
loop_
_atom_site_label
_atom_site_type_symbol
_atom_site_fract_x
_atom_site_fract_y
_atom_site_fract_z
K1 K 0.500 0.980 0.500
K2 K 0.980 0.000 0.000
K3 K 0.520 0.520 0.020
K4 K 0.000 0.500 0.480
Sn1 Sn 0.000 0.500 0.005
Sn2 Sn 0.995 0.995 0.495
Sn3 Sn 0.505 0.000 0.000
Sn4 Sn 0.500 0.505 0.500
O1 O 0.023 0.773 0.250
O2 O 0.477 0.727 0.750
O3 O 0.773 0.750 0.523
O4 O 0.250 0.477 0.227
O5 O 0.750 0.023 0.273
O6 O 0.727 0.250 0.977
```

The energy relative to the lowest polymorph listed for this composition comes out at 0 meV per atom. As for the calculated density: 4.2 Mg/m³. Its calculated total energy is -16.88 eV/atom. For the uncorrected formation energy, the calculation gives -1.568 eV per atom.

# 4
Material: KSnO3
Method: DFT, meta-GGA SCAN
State: PBEsol geometry

Cell and atoms, written as CIF:
```
data_KSnO3
_space_group_name_H-M_alt 'P 1'
_space_group_IT_number 1
_cell_length_a 4.446
_cell_length_b 4.446
_cell_length_c 4.446
_cell_angle_alpha 90.00
_cell_angle_beta 90.00
_cell_angle_gamma 90.00
loop_
_space_group_symop_operation_xyz
'x,y,z'
loop_
_atom_site_label
_atom_site_type_symbol
_atom_site_fract_x
_atom_site_fract_y
_atom_site_fract_z
K1 K 0.000 0.000 0.000
Sn1 Sn 0.500 0.500 0.500
O1 O 0.000 0.500 0.000
O2 O 0.000 0.000 0.500
O3 O 0.500 0.000 0.000
```

As for the calculated density: 3.9 Mg/m³. Its calculated total energy is -12.25 eV/atom. For the uncorrected formation energy, the calculation gives 0.343 eV per atom.

# 5
Material: K2SnO3
Method: DFT, meta-GGA SCAN
State: PBEsol geometry

Cell and atoms, written as CIF:
```
data_K2SnO3
_space_group_name_H-M_alt 'P 1'
_space_group_IT_number 1
_cell_length_a 5.768
_cell_length_b 6.969
_cell_length_c 10.372
_cell_angle_alpha 90.00
_cell_angle_beta 90.00
_cell_angle_gamma 90.00
loop_
_space_group_symop_operation_xyz
'x,y,z'
loop_
_atom_site_label
_atom_site_type_symbol
_atom_site_fract_x
_atom_site_fract_y
_atom_site_fract_z
K1 K 0.767 0.113 0.913
K2 K 0.233 0.887 0.087
K3 K 0.767 0.113 0.587
K4 K 0.267 0.387 0.913
K5 K 0.733 0.613 0.087
K6 K 0.233 0.887 0.413
K7 K 0.267 0.387 0.587
K8 K 0.733 0.613 0.413
Sn1 Sn 0.272 0.341 0.250
Sn2 Sn 0.772 0.159 0.250
Sn3 Sn 0.228 0.841 0.750
Sn4 Sn 0.728 0.659 0.750
O1 O 0.010 0.276 0.120
O2 O 0.510 0.224 0.380
O3 O 0.490 0.776 0.880
O4 O 0.990 0.724 0.620
O5 O 0.990 0.724 0.880
O6 O 0.490 0.776 0.620
O7 O 0.510 0.224 0.120
O8 O 0.010 0.276 0.380
O9 O 0.652 0.387 0.750
O10 O 0.348 0.613 0.250
O11 O 0.848 0.887 0.250
O12 O 0.152 0.113 0.750
```

As for the calculated density: 3.9 Mg/m³. Its calculated total energy is -13.65 eV/atom. For the uncorrected formation energy, the calculation gives -1.767 eV per atom.

# 6
Material: KTcSn2O
Method: DFT, meta-GGA SCAN
State: PBEsol geometry

Cell and atoms, written as CIF:
```
data_KTcSn2O
_space_group_name_H-M_alt 'P 1'
_space_group_IT_number 1
_cell_length_a 3.785
_cell_length_b 5.317
_cell_length_c 5.317
_cell_angle_alpha 90.00
_cell_angle_beta 90.00
_cell_angle_gamma 90.00
loop_
_space_group_symop_operation_xyz
'x,y,z'
loop_
_atom_site_label
_atom_site_type_symbol
_atom_site_fract_x
_atom_site_fract_y
_atom_site_fract_z
K1 K 0.500 0.500 0.500
Sn1 Sn 0.000 0.000 0.500
Sn2 Sn 0.000 0.500 0.000
O1 O 0.000 0.000 0.000
Tc1 Tc 0.500 0.000 0.000
```

As for the calculated density: 6.1 Mg/m³. Its calculated total energy is -24.16 eV/atom. For the uncorrected formation energy, the calculation gives 0.130 eV per atom.

# 7
Material: KSr3O
Method: DFT, meta-GGA SCAN
State: PBEsol geometry

Cell and atoms, written as CIF:
```
data_KSr3O
_space_group_name_H-M_alt 'P 1'
_space_group_IT_number 1
_cell_length_a 7.001
_cell_length_b 7.001
_cell_length_c 7.001
_cell_angle_alpha 90.00
_cell_angle_beta 90.00
_cell_angle_gamma 90.00
loop_
_space_group_symop_operation_xyz
'x,y,z'
loop_
_atom_site_label
_atom_site_type_symbol
_atom_site_fract_x
_atom_site_fract_y
_atom_site_fract_z
Sr1 Sr 0.000 0.500 0.000
Sr2 Sr 0.000 0.000 0.500
Sr3 Sr 0.500 0.000 0.000
K1 K 0.000 0.000 0.000
O1 O 0.500 0.500 0.500
```

As for the calculated density: 1.5 Mg/m³. Its calculated total energy is -15.17 eV/atom. For the uncorrected formation energy, the calculation gives 1.103 eV per atom.

# 8
Material: K2SrV4O12
Method: DFT, meta-GGA SCAN
State: PBEsol geometry

Cell and atoms, written as CIF:
```
data_K2SrV4O12
_space_group_name_H-M_alt 'P 1'
_space_group_IT_number 1
_cell_length_a 5.328
_cell_length_b 10.882
_cell_length_c 10.882
_cell_angle_alpha 90.00
_cell_angle_beta 90.00
_cell_angle_gamma 90.00
loop_
_space_group_symop_operation_xyz
'x,y,z'
loop_
_atom_site_label
_atom_site_type_symbol
_atom_site_fract_x
_atom_site_fract_y
_atom_site_fract_z
K1 K 0.500 0.750 0.750
K2 K 0.500 0.750 0.250
K3 K 0.500 0.250 0.750
K4 K 0.500 0.250 0.250
Sr1 Sr 0.500 0.500 0.500
Sr2 Sr 0.500 0.000 0.000
V1 V 0.000 0.720 0.000
V2 V 0.000 0.000 0.280
V3 V 0.000 0.280 0.000
V4 V 0.000 0.500 0.780
V5 V 0.000 0.780 0.500
V6 V 0.000 0.220 0.500
V7 V 0.000 0.500 0.220
V8 V 0.000 0.000 0.720
O1 O 0.238 0.455 0.306
O2 O 0.238 0.545 0.694
O3 O 0.238 0.694 0.455
O4 O 0.238 0.306 0.545
O5 O 0.762 0.306 0.455
O6 O 0.762 0.455 0.694
O7 O 0.762 0.545 0.306
O8 O 0.762 0.694 0.545
O9 O 0.762 0.045 0.194
O10 O 0.762 0.955 0.806
O11 O 0.762 0.806 0.045
O12 O 0.762 0.194 0.955
O13 O 0.238 0.194 0.045
O14 O 0.238 0.045 0.806
O15 O 0.103 0.125 0.375
O16 O 0.103 0.375 0.875
O17 O 0.103 0.625 0.125
O18 O 0.103 0.875 0.625
O19 O 0.897 0.875 0.375
O20 O 0.897 0.125 0.625
O21 O 0.897 0.375 0.125
O22 O 0.897 0.625 0.875
O23 O 0.238 0.806 0.955
O24 O 0.238 0.955 0.194
```

As for the calculated density: 3.0 Mg/m³. Its calculated total energy is -12.37 eV/atom. For the uncorrected formation energy, the calculation gives -2.700 eV per atom.

# 9
Material: KSrVO4
Method: DFT, meta-GGA SCAN
State: PBEsol geometry

Cell and atoms, written as CIF:
```
data_KSrVO4
_space_group_name_H-M_alt 'P 1'
_space_group_IT_number 1
_cell_length_a 5.796
_cell_length_b 7.409
_cell_length_c 9.928
_cell_angle_alpha 90.00
_cell_angle_beta 90.00
_cell_angle_gamma 90.00
loop_
_space_group_symop_operation_xyz
'x,y,z'
loop_
_atom_site_label
_atom_site_type_symbol
_atom_site_fract_x
_atom_site_fract_y
_atom_site_fract_z
K1 K 0.750 0.347 0.577
K2 K 0.250 0.653 0.423
K3 K 0.750 0.847 0.923
K4 K 0.250 0.153 0.077
Sr1 Sr 0.750 0.500 0.199
Sr2 Sr 0.250 0.500 0.801
Sr3 Sr 0.750 0.000 0.301
Sr4 Sr 0.250 0.000 0.699
V1 V 0.750 0.777 0.584
V2 V 0.250 0.223 0.416
V3 V 0.750 0.277 0.916
V4 V 0.250 0.723 0.084
O1 O 0.006 0.285 0.329
O2 O 0.506 0.715 0.671
O3 O 0.494 0.785 0.171
O4 O 0.994 0.215 0.829
O5 O 0.994 0.715 0.671
O6 O 0.494 0.285 0.329
O7 O 0.506 0.215 0.829
O8 O 0.006 0.785 0.171
O9 O 0.750 0.681 0.426
O10 O 0.250 0.319 0.574
O11 O 0.750 0.181 0.074
O12 O 0.250 0.819 0.926
O13 O 0.250 0.996 0.438
O14 O 0.750 0.004 0.562
O15 O 0.250 0.496 0.062
O16 O 0.750 0.504 0.938
```

As for the calculated density: 3.8 Mg/m³. Its calculated total energy is -13.33 eV/atom. For the uncorrected formation energy, the calculation gives -2.898 eV per atom.

# 10
Material: K3TaO
Method: DFT, meta-GGA SCAN
State: PBEsol geometry

Cell and atoms, written as CIF:
```
data_K3TaO
_space_group_name_H-M_alt 'P 1'
_space_group_IT_number 1
_cell_length_a 5.347
_cell_length_b 5.347
_cell_length_c 5.347
_cell_angle_alpha 90.00
_cell_angle_beta 90.00
_cell_angle_gamma 90.00
loop_
_space_group_symop_operation_xyz
'x,y,z'
loop_
_atom_site_label
_atom_site_type_symbol
_atom_site_fract_x
_atom_site_fract_y
_atom_site_fract_z
K1 K 0.000 0.500 0.000
K2 K 0.000 0.000 0.500
K3 K 0.500 0.000 0.000
O1 O 0.000 0.000 0.000
Ta1 Ta 0.500 0.500 0.500
```

As for the calculated density: 3.4 Mg/m³. Its calculated total energy is -18.96 eV/atom. For the uncorrected formation energy, the calculation gives 0.602 eV per atom.

# 11
Material: K2Ta15O32
Method: DFT, meta-GGA SCAN
State: PBEsol geometry

Cell and atoms, written as CIF:
```
data_K2Ta15O32
_space_group_name_H-M_alt 'P 1'
_space_group_IT_number 1
_cell_length_a 7.776
_cell_length_b 7.776
_cell_length_c 12.769
_cell_angle_alpha 72.27
_cell_angle_beta 72.27
_cell_angle_gamma 60.00
loop_
_space_group_symop_operation_xyz
'x,y,z'
loop_
_atom_site_label
_atom_site_type_symbol
_atom_site_fract_x
_atom_site_fract_y
_atom_site_fract_z
K1 K 0.859 0.859 0.423
K2 K 0.141 0.141 0.577
Ta1 Ta 0.500 0.500 0.500
Ta2 Ta 0.429 0.974 0.299
Ta3 Ta 0.974 0.298 0.299
Ta4 Ta 0.298 0.429 0.299
Ta5 Ta 0.571 0.026 0.701
Ta6 Ta 0.026 0.702 0.701
Ta7 Ta 0.702 0.571 0.701
Ta8 Ta 0.945 0.771 0.097
Ta9 Ta 0.771 0.186 0.097
Ta10 Ta 0.186 0.945 0.097
Ta11 Ta 0.055 0.229 0.903
Ta12 Ta 0.229 0.814 0.903
Ta13 Ta 0.814 0.055 0.903
Ta14 Ta 0.637 0.637 0.088
Ta15 Ta 0.363 0.363 0.912
O1 O 0.540 0.736 0.404
O2 O 0.736 0.321 0.404
O3 O 0.321 0.540 0.404
O4 O 0.460 0.264 0.596
O5 O 0.264 0.679 0.596
O6 O 0.679 0.460 0.596
O7 O 0.446 0.151 0.373
O8 O 0.151 0.031 0.373
O9 O 0.031 0.446 0.373
O10 O 0.554 0.849 0.627
O11 O 0.849 0.969 0.627
O12 O 0.969 0.554 0.627
O13 O 0.263 0.263 0.211
O14 O 0.737 0.737 0.789
O15 O 0.699 0.962 0.199
O16 O 0.962 0.141 0.199
O17 O 0.141 0.699 0.199
O18 O 0.571 0.263 0.000
O19 O 0.166 0.571 0.000
O20 O 0.263 0.166 0.000
O21 O 0.429 0.737 0.000
O22 O 0.834 0.429 0.000
O23 O 0.737 0.834 0.000
O24 O 0.572 0.156 0.815
O25 O 0.457 0.572 0.815
O26 O 0.156 0.457 0.815
O27 O 0.428 0.844 0.185
O28 O 0.543 0.428 0.185
O29 O 0.844 0.543 0.185
O30 O 0.859 0.301 0.801
O31 O 0.038 0.859 0.801
O32 O 0.301 0.038 0.801
```

As for the calculated density: 8.8 Mg/m³. Its calculated total energy is -27.67 eV/atom. For the uncorrected formation energy, the calculation gives -2.879 eV per atom.

# 12
Material: KTa5O13
Method: DFT, meta-GGA SCAN
State: PBEsol geometry

Cell and atoms, written as CIF:
```
data_KTa5O13
_space_group_name_H-M_alt 'P 1'
_space_group_IT_number 1
_cell_length_a 5.660
_cell_length_b 10.732
_cell_length_c 16.884
_cell_angle_alpha 90.00
_cell_angle_beta 90.00
_cell_angle_gamma 90.00
loop_
_space_group_symop_operation_xyz
'x,y,z'
loop_
_atom_site_label
_atom_site_type_symbol
_atom_site_fract_x
_atom_site_fract_y
_atom_site_fract_z
K1 K 0.798 0.327 0.750
K2 K 0.798 0.173 0.250
K3 K 0.202 0.827 0.750
K4 K 0.202 0.673 0.250
Ta1 Ta 0.337 0.750 0.500
Ta2 Ta 0.663 0.250 0.000
Ta3 Ta 0.663 0.250 0.500
Ta4 Ta 0.337 0.750 0.000
Ta5 Ta 0.347 0.366 0.363
Ta6 Ta 0.347 0.134 0.637
Ta7 Ta 0.653 0.866 0.137
Ta8 Ta 0.653 0.634 0.863
Ta9 Ta 0.653 0.634 0.637
Ta10 Ta 0.653 0.866 0.363
Ta11 Ta 0.347 0.134 0.863
Ta12 Ta 0.347 0.366 0.137
Ta13 Ta 0.159 0.063 0.425
Ta14 Ta 0.159 0.437 0.575
Ta15 Ta 0.841 0.563 0.075
Ta16 Ta 0.841 0.937 0.925
Ta17 Ta 0.841 0.937 0.575
Ta18 Ta 0.841 0.563 0.425
Ta19 Ta 0.159 0.437 0.925
Ta20 Ta 0.159 0.063 0.075
O1 O 0.398 0.746 0.388
O2 O 0.398 0.754 0.612
O3 O 0.602 0.246 0.112
O4 O 0.602 0.254 0.888
O5 O 0.602 0.254 0.612
O6 O 0.602 0.246 0.388
O7 O 0.398 0.754 0.888
O8 O 0.398 0.746 0.112
O9 O 0.407 0.995 0.365
O10 O 0.407 0.505 0.635
O11 O 0.593 0.495 0.135
O12 O 0.593 0.005 0.865
O13 O 0.593 0.005 0.635
O14 O 0.593 0.495 0.365
O15 O 0.407 0.505 0.865
O16 O 0.407 0.995 0.135
O17 O 0.363 0.374 0.487
O18 O 0.363 0.126 0.513
O19 O 0.632 0.653 0.750
O20 O 0.637 0.874 0.013
O21 O 0.637 0.626 0.513
O22 O 0.637 0.874 0.487
O23 O 0.363 0.126 0.987
O24 O 0.363 0.374 0.013
O25 O 0.092 0.484 0.137
O26 O 0.092 0.016 0.863
O27 O 0.908 0.984 0.363
O28 O 0.908 0.516 0.637
O29 O 0.908 0.516 0.863
O30 O 0.908 0.984 0.137
O31 O 0.092 0.016 0.637
O32 O 0.092 0.484 0.363
O33 O 0.132 0.219 0.126
O34 O 0.132 0.281 0.874
O35 O 0.868 0.719 0.374
O36 O 0.868 0.781 0.626
O37 O 0.868 0.781 0.874
O38 O 0.868 0.719 0.126
O39 O 0.132 0.281 0.626
O40 O 0.132 0.219 0.374
O41 O 0.129 0.606 0.996
O42 O 0.129 0.894 0.004
O43 O 0.871 0.106 0.504
O44 O 0.871 0.394 0.496
O45 O 0.871 0.394 0.004
O46 O 0.871 0.106 0.996
O47 O 0.129 0.894 0.496
O48 O 0.129 0.606 0.504
O49 O 0.368 0.347 0.250
O50 O 0.368 0.153 0.750
O51 O 0.632 0.847 0.250
O52 O 0.637 0.626 0.987
```

As for the calculated density: 7.5 Mg/m³. Its calculated total energy is -25.25 eV/atom. For the uncorrected formation energy, the calculation gives -3.026 eV per atom.

What is the formula in the first record? K2Sn2O3

Number 10 is which compound? K3TaO

Which of these has the lowest calculated total energy? K2Ta15O32